(1)
Entry from Alexandria via LeMat-Bulk: crystalline Pa2BiTe at its relaxed geometry (PBE).

a b c (Å): 3.778 3.778 7.585
angles (deg): 90.00 90.00 90.00
Atoms (fractional coordinates):
Pa 0.000 0.000 0.248
Pa 0.000 0.000 0.752
Bi 0.500 0.500 0.500
Te 0.500 0.500 0.000

* E_tot: -27.5 eV/cell
* magnetic moment: 2.4 Bohr magnetons per cell
* crystal system: tetragonal
* DOS at the Fermi energy: 10.177 states/eV/cell
* energy relative to the lowest polymorph listed for this composition: 3 meV/atom

(2)
Entry from Alexandria via LeMat-Bulk: crystalline PaBiTe at its relaxed geometry (PBE).

a b c (Å): 5.165 5.165 3.936
angles (deg): 90.00 90.00 120.00
Atoms (fractional coordinates):
Pa 0.000 0.000 0.000
Bi 0.667 0.333 0.500
Te 0.333 0.667 0.000

* E_tot: -17.2 eV/cell
* magnetic moment: 0.1 Bohr magnetons per cell
* crystal system: hexagonal
* DOS at the Fermi energy: 3.129 states/eV/cell

(3)
Entry from Alexandria via LeMat-Bulk: crystalline PaBiTe at its relaxed geometry (PBE).

a b c (Å): 7.649 7.649 7.649
angles (deg): 152.64 152.64 39.09
Atoms (fractional coordinates):
Pa 0.000 0.000 0.000
Bi 0.341 0.341 0.000
Te 0.623 0.623 0.000

* E_tot: -17.6 eV/cell
* magnetic moment: 0.4 Bohr magnetons per cell
* crystal system: tetragonal
* DOS at the Fermi energy: 3.689 states/eV/cell

(4)
Entry from Alexandria via LeMat-Bulk: crystalline Pa5Bi2Te5 at its relaxed geometry (PBE).

a b c (Å): 7.065 7.065 13.706
angles (deg): 101.87 101.87 34.79
Atoms (fractional coordinates):
Pa 0.000 0.000 0.000
Pa 0.140 0.140 0.437
Pa 0.305 0.305 0.181
Pa 0.695 0.695 0.819
Pa 0.860 0.860 0.563
Bi 0.007 0.007 0.777
Bi 0.993 0.993 0.223
Te 0.249 0.249 0.666
Te 0.336 0.336 0.947
Te 0.500 0.500 0.500
Te 0.664 0.664 0.053
Te 0.751 0.751 0.334

* E_tot: -76.5 eV/cell
* magnetic moment: 6.2 Bohr magnetons per cell
* crystal system: monoclinic
* DOS at the Fermi energy: 23.505 states/eV/cell